Entry 1:
## AgTeOsO (PBE)

Data for a relaxed AgTeOsO crystal.

a b c (Å): 3.834 6.975 5.621
angles (deg): 90.00 90.00 90.00
Element x y z (fractional)
Ag1 0.000 0.079 0.000
Ag2 0.000 0.921 0.500
Te1 0.000 0.312 0.522
Te2 0.000 0.688 0.022
Os1 0.500 0.496 0.275
Os2 0.500 0.504 0.775
O1 0.500 0.291 0.022
O2 0.500 0.709 0.522

Results
The value obtained for the total magnetization is 0.001 μB/atom. Its total DFT energy (no corrections) is -5.545 eV/atom. Its space group is No. 26.

---

Entry 2:
## AgTeOsO (PBE)

Data for a relaxed AgTeOsO crystal.

a b c (Å): 3.630 3.630 10.337
angles (deg): 90.00 90.00 90.00
Element x y z (fractional)
Ag1 0.250 0.750 0.000
Ag2 0.750 0.250 0.000
Te1 0.250 0.250 0.254
Te2 0.750 0.750 0.746
Os1 0.250 0.250 0.621
Os2 0.750 0.750 0.379
O1 0.250 0.750 0.500
O2 0.750 0.250 0.500

Results
The value obtained for the total magnetization is 0.000 μB/atom. Its total DFT energy (no corrections) is -5.152 eV/atom. Its space group is No. 129.

---

Entry 3:
## TlAg3OsO4 (PBE)

Data for a relaxed TlAg3OsO4 crystal.

a b c (Å): 5.710 5.710 5.710
angles (deg): 90.00 90.00 90.00
Element x y z (fractional)
Tl1 0.000 0.000 0.000
Ag1 0.000 0.500 0.500
Ag2 0.500 0.000 0.500
Ag3 0.500 0.500 0.000
Os1 0.500 0.500 0.500
O1 0.305 0.305 0.305
O2 0.305 0.695 0.695
O3 0.695 0.305 0.695
O4 0.695 0.695 0.305

Results
The value obtained for the total magnetization is 0.118 μB/atom. Its total DFT energy (no corrections) is -4.637 eV/atom. Its space group is No. 215.

---

Entry 4:
## AgPO4 (PBE)

Data for a relaxed AgPO4 crystal.

a b c (Å): 4.673 4.673 4.673
angles (deg): 102.64 102.64 124.22
Element x y z (fractional)
Ag1 0.000 0.000 0.000
P1 0.750 0.250 0.500
O1 0.080 0.276 0.449
O2 0.369 0.920 0.197
O3 0.724 0.172 0.803
O4 0.828 0.631 0.551

Results
Its total DFT energy (no corrections) is -5.857 eV/atom. Its space group is No. 82.

---

Entry 5:
## Ag3P2O7 (PBE)

Data for a relaxed Ag3P2O7 crystal.

a b c (Å): 8.596 8.596 8.527
angles (deg): 117.96 117.96 38.08
Element x y z (fractional)
Ag1 0.000 0.000 0.000
Ag2 0.000 0.000 0.500
Ag3 0.058 0.422 0.284
Ag4 0.422 0.058 0.784
Ag5 0.578 0.942 0.216
Ag6 0.942 0.578 0.716
P1 0.268 0.523 0.149
P2 0.477 0.732 0.351
P3 0.523 0.268 0.649
P4 0.732 0.477 0.851
O1 0.109 0.663 0.290
O2 0.110 0.668 0.992
O3 0.248 0.403 0.578
O4 0.332 0.890 0.508
O5 0.337 0.891 0.210
O6 0.403 0.248 0.078
O7 0.494 0.506 0.250
O8 0.506 0.494 0.750
O9 0.597 0.752 0.922
O10 0.663 0.109 0.790
O11 0.668 0.110 0.492
O12 0.752 0.597 0.422
O13 0.890 0.332 0.008
O14 0.891 0.337 0.710

Results
Its total DFT energy (no corrections) is -5.847 eV/atom. Its space group is No. 15.

---

Entry 6:
## Ag3PO4 (PBE)

Data for a relaxed Ag3PO4 crystal.

a b c (Å): 6.727 6.217 5.487
angles (deg): 90.00 90.00 90.00
Element x y z (fractional)
Ag1 0.000 0.175 0.000
Ag2 0.212 0.299 0.466
Ag3 0.288 0.701 0.966
Ag4 0.500 0.825 0.500
Ag5 0.712 0.701 0.966
Ag6 0.788 0.299 0.466
P1 0.000 0.794 0.461
P2 0.500 0.206 0.961
O1 0.000 0.017 0.591
O2 0.000 0.819 0.179
O3 0.189 0.666 0.543
O4 0.311 0.334 0.043
O5 0.500 0.181 0.679
O6 0.500 0.983 0.091
O7 0.689 0.334 0.043
O8 0.811 0.666 0.543

Results
Its total DFT energy (no corrections) is -5.272 eV/atom. Its space group is No. 31.

---

Entry 7:
## AgPO4 (PBE)

Data for a relaxed AgPO4 crystal.

a b c (Å): 4.723 6.506 4.737
angles (deg): 90.00 92.66 90.00
Element x y z (fractional)
Ag1 0.095 0.250 0.405
Ag2 0.905 0.750 0.595
P1 0.339 0.750 0.162
P2 0.661 0.250 0.838
O1 0.195 0.567 0.308
O2 0.195 0.933 0.308
O3 0.297 0.750 0.839
O4 0.336 0.250 0.797
O5 0.664 0.750 0.203
O6 0.703 0.250 0.161
O7 0.805 0.067 0.692
O8 0.805 0.433 0.692

Results
Its total DFT energy (no corrections) is -5.779 eV/atom. Its space group is No. 11.

---

Entry 8:
## Ag3PO4 (PBE)

Data for a relaxed Ag3PO4 crystal.

a b c (Å): 5.928 5.928 5.928
angles (deg): 130.96 130.96 71.87
Element x y z (fractional)
Ag1 0.000 0.000 0.000
Ag2 0.250 0.750 0.500
Ag3 0.750 0.250 0.500
P1 0.500 0.500 0.000
O1 0.224 0.224 0.634
O2 0.410 0.776 0.000
O3 0.590 0.590 0.366
O4 0.776 0.410 0.000

Results
Its total DFT energy (no corrections) is -5.265 eV/atom. Its space group is No. 121.

---

Entry 9:
## Ag2P2O7 (PBE)

Data for a relaxed Ag2P2O7 crystal.

a b c (Å): 5.769 5.769 4.567
angles (deg): 101.27 101.27 102.40
Element x y z (fractional)
Ag1 0.196 0.804 0.000
Ag2 0.804 0.196 0.000
P1 0.302 0.302 0.581
P2 0.698 0.698 0.419
O1 0.135 0.135 0.266
O2 0.147 0.433 0.752
O3 0.433 0.147 0.752
O4 0.500 0.500 0.500
O5 0.567 0.853 0.248
O6 0.853 0.567 0.248
O7 0.865 0.865 0.734

Results
Its total DFT energy (no corrections) is -6.048 eV/atom. Its space group is No. 12.

---

Entry 10:
## Ag2P2O7 (PBE)

Data for a relaxed Ag2P2O7 crystal.

a b c (Å): 6.611 6.611 6.611
angles (deg): 60.00 60.00 60.00
Element x y z (fractional)
Ag1 0.000 0.000 0.000
Ag2 0.000 0.000 0.500
Ag3 0.000 0.500 0.000
Ag4 0.500 0.000 0.000
P1 0.000 0.500 0.500
P2 0.500 0.000 0.500
P3 0.500 0.500 0.000
P4 0.500 0.500 0.500
O1 0.125 0.125 0.125
O2 0.186 0.186 0.564
O3 0.186 0.564 0.186
O4 0.186 0.564 0.564
O5 0.436 0.436 0.814
O6 0.436 0.814 0.436
O7 0.436 0.814 0.814
O8 0.564 0.186 0.186
O9 0.564 0.186 0.564
O10 0.564 0.564 0.186
O11 0.814 0.436 0.436
O12 0.814 0.436 0.814
O13 0.814 0.814 0.436
O14 0.875 0.875 0.875

Results
Its total DFT energy (no corrections) is -5.593 eV/atom. Its space group is No. 227.

---

Entry 11:
## Ag5P2O10 (PBE)

Data for a relaxed Ag5P2O10 crystal.

a b c (Å): 5.321 5.589 7.873
angles (deg): 95.72 93.74 107.40
Element x y z (fractional)
Ag1 0.000 0.000 0.000
Ag2 0.107 0.293 0.611
Ag3 0.308 0.669 0.036
Ag4 0.692 0.331 0.964
Ag5 0.893 0.707 0.389
P1 0.451 0.148 0.301
P2 0.549 0.852 0.699
O1 0.037 0.428 0.849
O2 0.182 0.075 0.383
O3 0.340 0.659 0.572
O4 0.386 0.261 0.132
O5 0.458 0.085 0.753
O6 0.542 0.915 0.247
O7 0.614 0.739 0.868
O8 0.660 0.341 0.428
O9 0.818 0.925 0.617
O10 0.963 0.572 0.151

Results
Its total DFT energy (no corrections) is -5.324 eV/atom. Its space group is No. 2.

---

Entry 12:
## AgPO6 (PBE)

Data for a relaxed AgPO6 crystal.

a b c (Å): 5.073 5.073 5.073
angles (deg): 60.00 60.00 60.00
Element x y z (fractional)
Ag1 0.000 0.000 0.000
P1 0.750 0.750 0.750
O1 0.523 0.523 0.977
O2 0.523 0.977 0.523
O3 0.523 0.977 0.977
O4 0.977 0.523 0.523
O5 0.977 0.523 0.977
O6 0.977 0.977 0.523

Results
Its total DFT energy (no corrections) is -4.797 eV/atom. Its space group is No. 216.